Entry 1:
Below is DySc4In2 after structural relaxation, with properties calculated at the PBE-GGA level.

Geometry as POSCAR:
```
DySc4In2
1.0
4.042 0.000 0.000
0.000 4.042 0.000
0.000 0.000 22.146
Dy Sc In
2 8 4
Direct
0.000 0.000 0.000
0.500 0.500 0.500
0.000 0.000 0.139
0.000 0.000 0.861
0.000 0.500 0.250
0.000 0.500 0.750
0.500 0.000 0.250
0.500 0.000 0.750
0.500 0.500 0.361
0.500 0.500 0.639
0.000 0.000 0.415
0.000 0.000 0.585
0.500 0.500 0.085
0.500 0.500 0.915
```

## Properties
ΔE_f: 0.07 eV per atom



Entry 2:
Below is Hg3SeO6 after structural relaxation, with properties calculated at the PBE-GGA level.

Geometry as POSCAR:
```
Hg3SeO6
1.0
4.665 -6.596 0.000
4.665 6.596 0.000
0.000 0.000 6.180
Hg Se O
6 2 12
Direct
0.048 0.952 0.500
0.232 0.389 0.574
0.389 0.232 0.074
0.611 0.768 0.574
0.768 0.611 0.074
0.952 0.048 0.000
0.307 0.693 0.161
0.693 0.307 0.661
0.092 0.607 0.142
0.162 0.181 0.260
0.181 0.162 0.760
0.345 0.655 0.446
0.393 0.908 0.142
0.413 0.587 0.012
0.587 0.413 0.512
0.607 0.092 0.642
0.655 0.345 0.946
0.819 0.838 0.260
0.838 0.819 0.760
0.908 0.393 0.642
```

## Properties
ΔE_f (raw): -0.35 eV per atom
Offset from the most stable computed form: 112 meV per atom



Entry 3:
Below is LiSb4Rh after structural relaxation, with properties calculated at the PBE-GGA level.

Geometry as POSCAR:
```
LiSb4Rh
1.0
0.000 4.320 4.320
4.320 0.000 4.320
4.320 4.320 0.000
Li Sb Rh
1 4 1
Direct
0.000 0.000 0.000
0.375 0.375 0.375
0.375 0.375 0.875
0.375 0.875 0.375
0.875 0.375 0.375
0.750 0.750 0.750
```

## Properties
ΔE_f (raw): 0.49 eV per atom



Entry 4:
Below is Ni2PbBr after structural relaxation, with properties calculated at the PBE-GGA level.

Geometry as POSCAR:
```
Ni2PbBr
1.0
4.180 0.000 0.000
0.000 3.466 0.000
-0.004 0.000 5.907
Ni Pb Br
2 1 1
Direct
0.000 0.000 0.000
0.000 0.500 0.309
0.500 0.000 0.275
0.998 0.500 0.729
```

## Properties
ΔE_f (raw): 0.08 eV per atom
Offset from the most stable computed form: 0 meV per atom



Entry 5:
Below is Li3AcTb2S6 after structural relaxation, with properties calculated at the PBE-GGA level.

Geometry as POSCAR:
```
Li3AcTb2S6
1.0
3.508 -6.138 0.000
3.508 6.138 0.000
-2.196 0.000 6.224
Li Ac Tb S
3 1 2 6
Direct
0.000 0.000 0.000
0.315 0.685 0.000
0.685 0.315 0.000
0.500 0.500 0.500
0.166 0.834 0.500
0.834 0.166 0.500
0.069 0.422 0.248
0.226 0.226 0.754
0.422 0.069 0.248
0.578 0.931 0.752
0.774 0.774 0.246
0.931 0.578 0.752
```

## Properties
ΔE_f (raw): -1.81 eV per atom



Entry 6:
Below is ReTePN2 after structural relaxation, with properties calculated at the PBE-GGA level.

Geometry as POSCAR:
```
ReTePN2
1.0
3.860 0.000 0.000
0.000 3.860 0.000
0.000 0.000 5.837
Re Te P N
1 1 1 2
Direct
0.000 0.000 0.000
0.000 0.000 0.500
0.500 0.500 0.500
0.000 0.500 0.000
0.500 0.000 0.000
```

## Properties
ΔE_f (raw): 0.72 eV per atom
Offset from the most stable computed form: 0 meV per atom



Entry 7:
Below is La2Nd3Er after structural relaxation, with properties calculated at the PBE-GGA level.

Geometry as POSCAR:
```
La2Nd3Er
1.0
6.921 0.000 0.000
0.000 17.796 0.000
0.000 0.000 3.438
La Nd Er
4 6 2
Direct
0.242 0.157 0.000
0.258 0.657 0.500
0.742 0.343 0.500
0.758 0.843 0.000
0.000 0.000 0.500
0.245 0.829 0.000
0.255 0.329 0.500
0.500 0.500 0.000
0.745 0.671 0.500
0.755 0.171 0.000
0.000 0.500 0.500
0.500 0.000 0.000
```

## Properties
ΔE_f: 0.23 eV per atom
Offset from the most stable computed form: 231 meV per atom



Entry 8:
Below is Pa2AgSn after structural relaxation, with properties calculated at the PBE-GGA level.

Geometry as POSCAR:
```
Pa2AgSn
1.0
7.398 0.000 0.000
0.000 7.398 0.000
0.000 0.000 7.398
Pa Ag Sn
8 4 4
Direct
0.250 0.250 0.250
0.250 0.250 0.750
0.250 0.750 0.250
0.250 0.750 0.750
0.750 0.250 0.250
0.750 0.250 0.750
0.750 0.750 0.250
0.750 0.750 0.750
0.000 0.000 0.000
0.000 0.500 0.500
0.500 0.000 0.500
0.500 0.500 0.000
0.000 0.000 0.500
0.000 0.500 0.000
0.500 0.000 0.000
0.500 0.500 0.500
```

## Properties
ΔE_f: 0.20 eV per atom
Offset from the most stable computed form: 241 meV per atom



Entry 9:
Below is Li2ZnPdSe after structural relaxation, with properties calculated at the PBE-GGA level.

Geometry as POSCAR:
```
Li2ZnPdSe
1.0
4.535 0.000 0.000
0.000 4.535 0.000
0.000 0.000 4.989
Li Zn Pd Se
2 1 1 1
Direct
0.000 0.500 0.000
0.500 0.000 0.000
0.000 0.000 0.500
0.500 0.500 0.500
0.000 0.000 0.000
```

## Properties
ΔE_f (raw): -0.15 eV per atom



Entry 10:
Below is Li2CoNi after structural relaxation, with properties calculated at the PBE-GGA level.

Geometry as POSCAR:
```
Li2CoNi
1.0
2.436 0.000 0.000
0.000 4.089 0.000
0.000 0.000 4.757
Li Co Ni
2 1 1
Direct
0.000 0.000 0.249
0.000 0.000 0.751
0.500 0.500 0.500
0.500 0.500 0.000
```

## Properties
ΔE_f: 0.16 eV per atom
Offset from the most stable computed form: 136 meV per atom



What is the formula in the tenth record?
Li2CoNi